DFT (PBE) results for crystalline GeBi2Cl8 at its relaxed geometry. Values from VASP.

Quantum ESPRESSO input file:
```
&SYSTEM
  ibrav = 0, nat = 11, ntyp = 3
/
ATOMIC_SPECIES
Ge 72.64 Ge.upf
Bi 208.98 Bi.upf
Cl 35.45 Cl.upf
CELL_PARAMETERS angstrom
7.104 -3.458 0.000
7.104 3.458 0.000
-0.997 0.000 8.242
ATOMIC_POSITIONS crystal
Ge 0.000 0.000 0.000
Bi 0.140 0.140 0.384
Bi 0.860 0.860 0.616
Cl 0.065 0.065 0.712
Cl 0.120 0.620 0.848
Cl 0.322 0.322 0.442
Cl 0.380 0.880 0.152
Cl 0.620 0.120 0.848
Cl 0.678 0.678 0.558
Cl 0.880 0.380 0.152
Cl 0.935 0.935 0.288
```

Formation energy from raw total energies, eV per atom: -0.8491
Excess energy over the best structure of this formula in the dataset, meV/atom: 33.3

---

DFT (PBE) results for crystalline Ge3BiCl at its relaxed geometry. Values from VASP.

Quantum ESPRESSO input file:
```
&SYSTEM
  ibrav = 0, nat = 5, ntyp = 3
/
ATOMIC_SPECIES
Ge 72.64 Ge.upf
Bi 208.98 Bi.upf
Cl 35.45 Cl.upf
CELL_PARAMETERS angstrom
5.072 0.000 0.000
0.000 5.072 0.000
0.000 0.000 5.072
ATOMIC_POSITIONS crystal
Ge 0.000 0.000 0.500
Ge 0.000 0.500 0.000
Ge 0.500 0.000 0.000
Bi 0.500 0.500 0.500
Cl 0.000 0.000 0.000
```

Formation energy from raw total energies, eV per atom: 0.6105
Excess energy over the best structure of this formula in the dataset, meV/atom: 0.0